(1)
BaCd2CoPb | PBE | optimized geometry

POSCAR file:
```
BaCd2CoPb
1.0
5.186 0.000 0.000
0.000 5.186 0.000
0.000 0.000 5.062
Ba Cd Pb Co
1 2 1 1
Cartesian
2.593 2.593 2.531
2.593 0.000 0.000
0.000 2.593 0.000
0.000 0.000 2.531
0.000 0.000 0.000
```

Values from the calculation:
The energy is -3.02 eV/atom. The calculated volume comes out at 136.15 Å³ per cell. The calculation puts the energy relative to the elements at -0.107 eV per atom. Its density of states at the Fermi level is 3.3 states/eV/f.u.

---

(2)
RbBaCdCo2 | PBE | optimized geometry

POSCAR file:
```
RbBaCdCo2
1.0
-0.565 -2.628 4.318
-4.731 -3.057 -2.480
3.204 -3.547 -1.739
Ba Co Cd Rb
1 2 1 1
Cartesian
-2.366 -1.529 -1.240
-0.283 -1.314 2.159
1.602 -1.774 -0.870
-1.046 -4.616 0.050
0.000 0.000 0.000
```

Values from the calculation:
The energy is -1.88 eV/atom. The calculated volume comes out at 159.23 Å³ per cell. The calculation puts the energy relative to the elements at 1.723 eV per atom. Its density of states at the Fermi level is 6.1 states/eV/f.u.

---

(3)
BaCdCoRe2 | PBE | optimized geometry

POSCAR file:
```
BaCdCoRe2
1.0
-3.601 2.912 -2.076
-3.403 -0.803 4.776
2.068 4.099 2.163
Co Re Cd Ba
1 2 1 1
Cartesian
-2.468 3.104 2.431
-1.800 1.456 -1.038
1.034 2.049 1.081
0.000 0.000 0.000
-1.702 -0.401 2.388
```

Values from the calculation:
The energy is -4.30 eV/atom. The calculated volume comes out at 152.45 Å³ per cell. The calculation puts the energy relative to the elements at 2.666 eV per atom. Its density of states at the Fermi level is 6.3 states/eV/f.u.

---

(4)
BaCd2CoSb | PBE | optimized geometry

POSCAR file:
```
BaCd2CoSb
1.0
-3.521 3.215 -1.906
-2.969 -0.815 4.110
2.198 3.795 2.341
Cd Ba Sb Co
2 1 1 1
Cartesian
-1.485 -0.408 2.055
-1.761 1.608 -0.953
-2.146 3.098 2.272
1.099 1.897 1.170
0.000 0.000 0.000
```

Values from the calculation:
The energy is -3.23 eV/atom. The calculated volume comes out at 131.10 Å³ per cell. Its density of states at the Fermi level is 3.5 states/eV/f.u. As for the formation energy (no corrections): -0.2310 eV per atom.

---

(5)
BaSc2CdCo | PBE | optimized geometry

POSCAR file:
```
BaSc2CdCo
1.0
-3.371 0.237 3.616
2.819 -4.206 2.904
2.723 3.423 2.315
Cd Sc Co Ba
1 2 1 1
Cartesian
1.086 -0.273 4.417
-1.686 0.119 1.808
1.362 1.712 1.157
0.000 0.000 0.000
1.409 -2.103 1.452
```

Values from the calculation:
The energy is -4.39 eV/atom. The calculated volume comes out at 142.97 Å³ per cell. The calculation puts the energy relative to the elements at 0.129 eV per atom. Its density of states at the Fermi level is 4.3 states/eV/f.u.

---

(6)
Ba2ScCdCo | PBE | optimized geometry

POSCAR file:
```
Ba2ScCdCo
1.0
-0.323 6.533 -1.025
-0.731 -0.693 -4.190
-6.517 -0.140 1.160
Ba Cd Co Sc
2 1 1 1
Cartesian
-0.161 3.267 -0.512
-3.259 -0.070 0.580
-3.785 2.850 -2.028
-0.365 -0.347 -2.095
0.000 0.000 0.000
```

Values from the calculation:
The energy is -3.15 eV/atom. The calculated volume comes out at 188.91 Å³ per cell. The calculation puts the energy relative to the elements at 0.488 eV per atom. Its density of states at the Fermi level is 3.9 states/eV/f.u.

---

(7)
BaY2CdCo | PBE | optimized geometry

POSCAR file:
```
BaY2CdCo
1.0
-3.553 -2.820 2.604
3.235 -0.289 4.100
-2.125 4.521 1.995
Y Cd Co Ba
2 1 1 1
Cartesian
1.617 -0.144 2.050
-1.776 -1.410 1.302
-1.063 2.260 0.998
0.000 0.000 0.000
-1.222 0.706 4.350
```

Values from the calculation:
The energy is -4.62 eV/atom. The calculated volume comes out at 147.16 Å³ per cell. The calculation puts the energy relative to the elements at -0.049 eV per atom. Its density of states at the Fermi level is 3.6 states/eV/f.u.

---

(8)
BaZn2CdCo | PBE | optimized geometry

POSCAR file:
```
BaZn2CdCo
1.0
4.813 0.000 0.000
0.000 4.813 0.000
0.000 0.000 5.071
Co Ba Zn Cd
1 1 2 1
Cartesian
0.000 0.000 0.000
2.407 2.407 2.535
2.407 0.000 0.000
0.000 2.407 0.000
0.000 0.000 2.535
```

Values from the calculation:
The energy is -2.56 eV/atom. The calculated volume comes out at 117.46 Å³ per cell. The calculation puts the energy relative to the elements at -0.065 eV per atom. Its density of states at the Fermi level is 2.8 states/eV/f.u.